Record 1
This record from Alexandria describes an optimized crystal structure of Hf4SbMo. The functional is PBE.

Cell: 7.391 7.391 5.556 Å, 100.99 100.99 112.62°
Element x y z (fractional)
1 Hf 0.065 0.703 0.930
2 Hf 0.204 0.376 0.649
3 Hf 0.297 0.935 0.570
4 Hf 0.376 0.204 0.149
5 Hf 0.624 0.796 0.851
6 Hf 0.703 0.065 0.430
7 Hf 0.796 0.624 0.351
8 Hf 0.935 0.297 0.070
9 Sb 0.381 0.619 0.250
10 Sb 0.619 0.381 0.750
11 Mo 0.000 0.000 0.250
12 Mo 0.000 0.000 0.750

Results
Crystal system: monoclinic

---

Record 2
This record from Alexandria describes an optimized crystal structure of Hf2SbMo. The functional is PBE.

Cell: 3.599 3.599 6.170 Å, 90.00 90.00 90.00°
Element x y z (fractional)
1 Hf 0.000 0.000 0.239
2 Hf 0.000 0.000 0.761
3 Sb 0.500 0.500 0.500
4 Mo 0.500 0.500 0.000

Results
Crystal system: tetragonal

---

Record 3
This record from Alexandria describes an optimized crystal structure of Hf5Sb2Mo. The functional is PBE.

Cell: 7.026 7.026 12.347 Å, 90.00 90.00 137.65°
Element x y z (fractional)
1 Hf 0.099 0.901 0.613
2 Hf 0.099 0.901 0.887
3 Hf 0.314 0.686 0.515
4 Hf 0.314 0.686 0.985
5 Hf 0.315 0.685 0.250
6 Hf 0.685 0.315 0.750
7 Hf 0.686 0.314 0.015
8 Hf 0.686 0.314 0.485
9 Hf 0.901 0.099 0.113
10 Hf 0.901 0.099 0.387
11 Sb 0.120 0.880 0.122
12 Sb 0.120 0.880 0.378
13 Sb 0.880 0.120 0.622
14 Sb 0.880 0.120 0.878
15 Mo 0.256 0.744 0.750
16 Mo 0.744 0.256 0.250

Results
Crystal system: orthorhombic

---

Record 4
This record from Alexandria describes an optimized crystal structure of HfSb2Mo. The functional is PBE.

Cell: 3.161 3.161 30.770 Å, 90.00 90.00 120.00°
Element x y z (fractional)
1 Hf 0.000 0.000 0.000
2 Hf 0.333 0.667 0.667
3 Hf 0.667 0.333 0.333
4 Sb 0.000 0.000 0.411
5 Sb 0.000 0.000 0.589
6 Sb 0.333 0.667 0.078
7 Sb 0.333 0.667 0.256
8 Sb 0.667 0.333 0.744
9 Sb 0.667 0.333 0.922
10 Mo 0.000 0.000 0.500
11 Mo 0.333 0.667 0.167
12 Mo 0.667 0.333 0.833

Results
Polymorph energy (0 for the lowest one) (eV per atom): 0.459
Crystal system: trigonal

---

no.,DFT total energy (eV per atom),uncorrected formation energy (kJ per mole of atoms),Fermi-level density of states (states/eV/f.u.)
1,-9.275,-14,6.0
2,-9.014,-29,2.6
3,-8.414,18,5.3
4,-6.833,41,5.1